# CeTl2AgBr6

A relaxed structure of CeTl2AgBr6 (PBE-GGA, the Alexandria database).

Unit cell a=7.706 b=8.164 c=13.353 alpha=90.00 beta=123.96 gamma=90.00
Space group P2_1/c (No. 14)
Unique sites:
1 Ce 0.000 0.000 0.000 x2
2 Tl 0.285 0.080 0.756 x4
3 Ag 0.500 0.000 0.500 x2
4 Br 0.144 0.026 0.254 x4
5 Br 0.245 0.700 0.054 x4
6 Br 0.360 0.195 0.052 x4

D(E_F): 0.811 states/eV/atom
ΔE_f (raw): -1134 meV/atom
Total DFT energy (no corrections): -3.490 eV/atom
Total magnetization: 2.000 μB/cell



# CrAuSeBr2

A relaxed structure of CrAuSeBr2 (PBE-GGA, the Alexandria database).

Unit cell a=5.063 b=5.063 c=5.836 alpha=90.00 beta=90.00 gamma=90.00
Space group P4/mmm (No. 123)
Unique sites:
1 Cr 0.000 0.000 0.000 x1
2 Au 0.000 0.000 0.500 x1
3 Se 0.500 0.500 0.000 x1
4 Br 0.000 0.500 0.500 x2

D(E_F): 0.428 states/eV/atom
Offset from the most stable computed form: 454 meV/atom
ΔE_f (raw): 628 meV/atom
Total DFT energy (no corrections): -3.318 eV/atom
Total magnetization: 3.355 μB/cell



# Er6Zn2Ir

A relaxed structure of Er6Zn2Ir (PBE-GGA, the Alexandria database).

Unit cell a=9.397 b=9.517 c=9.861 alpha=90.00 beta=90.00 gamma=90.00
Space group Immm (No. 71)
Unique sites:
1 Er 0.000 0.174 0.249 x8
2 Er 0.173 0.500 0.224 x8
3 Er 0.237 0.312 0.500 x8
4 Zn 0.000 0.365 0.000 x4
5 Zn 0.129 0.000 0.500 x4
6 Ir 0.000 0.000 0.000 x2
7 Ir 0.000 0.500 0.500 x2

D(E_F): 0.925 states/eV/atom
Total DFT energy (no corrections): -4.675 eV/atom
Formation enthalpy at 0 K: -0.365 eV per atom
Total magnetization: 0.000 μB/cell



# Rb3TeF

A relaxed structure of Rb3TeF (PBE-GGA, the Alexandria database).

Unit cell a=6.0434 b=6.0434 c=11.3293 alpha=90.00 beta=90.00 gamma=120.00
Space group P6_3/mmc (No. 194)
Unique sites:
1 Rb 0.0000 0.0000 0.2500 x2
2 Rb 0.3333 0.6667 0.0699 x4
3 Te 0.3333 0.6667 0.7500 x2
4 F 0.0000 0.0000 0.0000 x2

D(E_F): 0.000 states/eV/atom
Offset from the most stable computed form: 150 meV/atom
ΔE_f (raw): -1530 meV/atom
Total DFT energy (no corrections): -3.113 eV/atom
Total magnetization: 0.000 μB/cell



# KAgMo

A relaxed structure of KAgMo (PBE-GGA, the Alexandria database).

Unit cell a=2.706 b=4.431 c=12.617 alpha=90.00 beta=90.00 gamma=90.00
Space group Imm2 (No. 44)
Unique sites:
1 K 0.000 0.000 0.000 x2
2 Ag 0.000 0.000 0.705 x2
3 Mo 0.000 0.000 0.281 x2

D(E_F): 0.741 states/eV/atom
Offset from the most stable computed form: 352 meV/atom
Total DFT energy (no corrections): -3.912 eV/atom
Formation enthalpy at 0 K: 1.015 eV per atom
Total magnetization: 0.000 μB/cell



# TcAuO2

A relaxed structure of TcAuO2 (PBE-GGA, the Alexandria database).

Unit cell a=2.9099 b=2.9099 c=23.6300 alpha=90.00 beta=90.00 gamma=120.00
Space group R-3m (No. 166, hexagonal axes)
Unique sites:
1 Tc 0.0000 0.0000 0.0000 x3
2 Au 0.0000 0.0000 0.5000 x3
3 O 0.0000 0.0000 0.0746 x6

D(E_F): 0.814 states/eV/atom
Offset from the most stable computed form: 562 meV/atom
ΔE_f (raw): -146 meV/atom
Total DFT energy (no corrections): -6.035 eV/atom
Total magnetization: 0.515 μB/cell